# 1
This record from the Alexandria database describes ReMo3W after structural relaxation. The functional is PBE.

Lattice parameters (Å, degrees): 2.7052 8.5656 7.5971 90.00 90.88 90.00
With the nearest neighbours (Å) after each atom.
Space group P2_1/m (No. 11)
Asymmetric unit:
Re (0.0016, 0.2500, 0.4817) x2  5 Mo 2.62-2.74, 2 Re 2.71
Mo (0.3359, 0.7500, 0.8441) x2  2 W 2.62, 1 Re 2.62, 4 Mo 2.71-2.78
Mo (0.3513, 0.5171, 0.3295) x4  2 Re 2.64-2.74, 1 W 2.67, 4 Mo 2.71-2.78
W (0.0000, 0.0000, 0.0000) x2  4 Mo 2.62-2.67, 2 W 2.71

Calculated values
E_form ... 508 meV per atom
Magnetization ... 0.000 μB per cell
Calculated density ... 12.41 g cm⁻³
E ... -11.071 eV/atom

***

# 2
This record from the Alexandria database describes BaCuPd2F8 after structural relaxation. The functional is PBE.

Lattice parameters (Å, degrees): 4.6279 5.0759 8.1609 84.63 89.49 85.95
With the nearest neighbours (Å) after each atom.
Space group P-1 (No. 2)
Asymmetric unit:
Ba (0.0000, 0.0000, 0.0000) x1  8 F 2.63-2.83
Cu (0.0000, 0.0000, 0.5000) x1  4 F 1.94-2.02
Pd (0.4370, 0.4931, 0.2837) x2  4 F 1.99-2.02
F (0.1154, 0.7742, 0.3165) x2  1 Cu 2.02, 1 Pd 2.02
F (0.2204, 0.7570, 0.7477) x2  1 Pd 1.99
F (0.3107, 0.2365, 0.4677) x2  1 Cu 1.94, 1 Pd 2.00
F (0.4554, 0.2619, 0.9100) x2  1 Pd 2.00

Calculated values
E_form (uncorrected) ... -1.91 eV per atom
Magnetization ... 1.011 μB per cell
Calculated density ... 4.93 g cm⁻³
E ... -4.524 eV/atom

***

# 3
This record from the Alexandria database describes BeAlCoAu after structural relaxation. The functional is PBE.

Lattice parameters (Å, degrees): 5.8545 5.8545 5.8545 90.00 90.00 90.00
With the nearest neighbours (Å) after each atom.
Space group F-43m (No. 216)
Asymmetric unit:
Be (0.0000, 0.0000, 0.0000) x4  4 Co 2.54, 4 Au 2.54
Al (0.0000, 0.0000, 0.5000) x4  4 Co 2.54, 4 Au 2.54
Co (0.2500, 0.2500, 0.2500) x4  4 Be 2.54, 4 Al 2.54
Au (0.2500, 0.2500, 0.7500) x4  4 Be 2.54, 4 Al 2.54

Calculated values
E_form ... -223 meV per atom
Magnetization ... 2.146 μB per cell
Calculated density ... 9.66 g cm⁻³
E ... -4.686 eV/atom

***

# 4
This record from the Alexandria database describes In2RhIF after structural relaxation. The functional is PBE.

Lattice parameters (Å, degrees): 5.2325 5.2325 5.1865 90.00 90.00 90.00
With the nearest neighbours (Å) after each atom.
Space group P4/mmm (No. 123)
Asymmetric unit:
In (0.0000, 0.5000, 0.0000) x2  2 Rh 2.62
Rh (0.0000, 0.0000, 0.0000) x1  2 I 2.59, 4 In 2.62
I (0.0000, 0.0000, 0.5000) x1  2 Rh 2.59
F (0.5000, 0.5000, 0.5000) x1  8 In 3.68, 4 I 3.70

Calculated values
E_form (uncorrected) ... -0.45 eV per atom
Magnetization ... 0.000 μB per cell
Calculated density ... 5.59 g cm⁻³
E ... -3.697 eV/atom

***

# 5
This record from the Alexandria database describes NaTa2S4 after structural relaxation. The functional is PBE.

Lattice parameters (Å, degrees): 5.8118 3.4027 7.5915 90.00 105.36 90.00
With the nearest neighbours (Å) after each atom.
Space group P2/m (No. 10)
Asymmetric unit:
Na (0.0000, 0.0000, 0.0000) x1  6 S 2.86-2.88
Ta (0.0000, 0.5000, 0.5000) x1  6 S 2.50
Ta (0.5000, 0.0000, 0.5000) x1  6 S 2.49-2.50
S (0.2395, 0.0000, 0.7122) x2  3 Ta 2.49-2.50
S (0.2620, 0.5000, 0.2865) x2  3 Ta 2.50

Calculated values
E_form (uncorrected) ... -1.08 eV per atom
Magnetization ... 0.000 μB per cell
Calculated density ... 5.89 g cm⁻³
E ... -7.012 eV/atom

***

# 6
This record from the Alexandria database describes TlMoRh2 after structural relaxation. The functional is PBE.

Lattice parameters (Å, degrees): 2.9009 2.9009 7.8723 90.00 90.00 90.00
With the nearest neighbours (Å) after each atom.
Space group P4/mmm (No. 123)
Asymmetric unit:
Tl (0.0000, 0.0000, 0.0000) x1  4 Tl 2.90, 8 Rh 2.98
Mo (0.0000, 0.0000, 0.5000) x1  8 Rh 2.71, 4 Mo 2.90
Rh (0.5000, 0.5000, 0.2748) x2  4 Mo 2.71, 4 Rh 2.90, 4 Tl 2.98

Calculated values
E_form ... -6 meV per atom
Magnetization ... 0.000 μB per cell
Calculated density ... 12.69 g cm⁻³
E ... -6.981 eV/atom

***

# 7
This record from the Alexandria database describes Ce2TmN after structural relaxation. The functional is PBE.

Lattice parameters (Å, degrees): 3.4150 3.4150 28.3305 90.00 90.00 120.00
With the nearest neighbours (Å) after each atom.
Space group R-3m (No. 166, hexagonal axes)
Asymmetric unit:
Ce (0.0000, 0.0000, 0.1159) x6  3 N 2.44
Tm (0.0000, 0.0000, 0.0000) x3  2 Ce 3.28, 6 Tm 3.41
N (0.0000, 0.0000, 0.5000) x3  6 Ce 2.44

Calculated values
E_form (uncorrected) ... -0.55 eV per atom
Magnetization ... 3.353 μB per cell
Calculated density ... 8.06 g cm⁻³
E ... -6.720 eV/atom

***

# 8
This record from the Alexandria database describes IrWCl2 after structural relaxation. The functional is PBE.

Lattice parameters (Å, degrees): 2.8980 4.7331 12.0261 90.00 90.00 90.00
With the nearest neighbours (Å) after each atom.
Space group Imm2 (No. 44)
Asymmetric unit:
Ir (0.0000, 0.0000, 0.0000) x2  2 W 2.46
W (0.0000, 0.5000, 0.3345) x2  2 Ir 2.46, 2 Cl 2.58
Cl (0.0000, 0.0000, 0.6568) x2  2 W 2.58
Cl (0.0000, 0.5000, 0.8192) x2  4 W 2.78, 4 Cl 2.90-3.07

Calculated values
E_form (uncorrected) ... 0.64 eV per atom
Magnetization ... 0.000 μB per cell
Calculated density ... 9.00 g cm⁻³
E ... -5.732 eV/atom

***

Question: Among the records above, which one has the highest E?
Answer: In2RhIF

***

Question: What is the formula in the second record?
Answer: BaCuPd2F8

***

Question: Which of these has the highest calculated density?
Answer: TlMoRh2